A plane-wave DFT calculation with GGA-PBE was carried out for a relaxed ZnSb crystal.

As for the magnetic moment: 0.0 μB per cell. The uncorrected formation energy is 38 kJ/mol of formula units.

abc: 3.221 3.221 8.900
angles: 90.00 90.00 105.40
Atoms (fractional coordinates):
Zn  0.500  0.500  0.279
Zn  0.000  0.000  0.471
Sb  0.000  0.000  0.037
Sb  0.500  0.500  0.713